SrTmCu2 | Alexandria | GGA-PBE | relaxed; relative energy among the computed polymorphs = 0 meV per atom; energy of formation = -131.9 meV/atom; total DFT energy (no corrections) = -3.718 eV per atom; D(E_F) = 0.942 states/eV per atom; spin magnetization = 0.000 μB/atom
1.0
3.585 0.000 0.000
0.000 3.585 0.000
0.000 0.000 7.264
Sr Tm Cu
1 1 2
Cartesian
1.793 1.793 3.632
1.793 1.793 0.000
0.000 0.000 5.871
0.000 0.000 1.393

***

SrTmZnCu | Alexandria | GGA-PBE | relaxed; energy of formation = -84.4 meV/atom; total DFT energy (no corrections) = -2.965 eV per atom; D(E_F) = 0.558 states/eV per atom; spin magnetization = 0.000 μB/atom
1.0
-3.649 -2.152 2.914
1.285 -3.408 3.629
-0.398 1.262 4.969
Sr Zn Tm Cu
1 1 1 1
Cartesian
0.000 0.000 0.000
-2.071 -3.224 8.634
-1.381 -2.149 5.756
-0.690 -1.075 2.878

***

SrV2Cu2 | Alexandria | GGA-PBE | relaxed; relative energy among the computed polymorphs = 104 meV per atom; energy of formation = 562.1 meV/atom; total DFT energy (no corrections) = -5.060 eV per atom; D(E_F) = 1.062 states/eV per atom; spin magnetization = 0.125 μB/atom
1.0
-0.946 -4.621 0.477
3.474 -0.381 3.203
-1.501 -1.614 4.945
Sr Cu V
1 2 2
Cartesian
0.000 0.000 0.000
-0.592 -4.368 3.631
1.618 -2.248 4.994
0.646 -2.302 2.534
0.381 -4.313 6.090

***

SrVCu3 | Alexandria | GGA-PBE | relaxed; relative energy among the computed polymorphs = 1121 meV per atom; energy of formation = 1682.2 meV/atom; total DFT energy (no corrections) = -2.936 eV per atom; D(E_F) = 0.855 states/eV per atom; spin magnetization = 0.668 μB/atom
1.0
-0.430 -2.287 4.524
4.937 0.842 0.895
-1.151 4.466 2.148
Sr Cu V
1 3 1
Cartesian
0.000 0.000 0.000
2.468 0.421 0.447
-0.575 2.233 1.074
-0.215 -1.143 2.262
1.678 1.510 3.783

***

Number 1: theoretical density 6.82 g/cm3. Number 2: theoretical density 6.66 g/cm3. Number 3: theoretical density 5.50 g/cm3. Number 4: theoretical density 4.15 g/cm3.